An optimized crystal structure of K4Ir3PdSe8. Source: the Alexandria database, functional GGA-PBE.

Results
* symmetry: R-3m (166)
* uncorrected formation energy: -940 kJ/mol of formula units
* density of states at the Fermi level: 3.385 states/eV/f.u.

a = 7.871 Å, b = 8.445 Å, c = 7.871 Å
α = 117.78°, β = 120.00°, γ = 90.00°
Positions (direct):
K1 0.500 0.000 0.000
K2 0.500 0.000 0.500
K3 0.000 0.000 0.000
K4 0.000 0.000 0.500
Ir1 0.500 0.500 0.000
Ir2 0.500 0.500 0.500
Ir3 0.000 0.500 0.500
Pd1 0.000 0.500 0.000
Se1 0.227 0.668 0.941
Se2 0.228 0.668 0.455
Se3 0.278 0.333 0.556
Se4 0.713 0.668 0.941
Se5 0.287 0.332 0.059
Se6 0.722 0.667 0.444
Se7 0.772 0.332 0.545
Se8 0.773 0.332 0.059


An optimized crystal structure of KIrPdSe3. Source: the Alexandria database, functional GGA-PBE.

Results
* symmetry: Cmcm (63)
* uncorrected formation energy: -225 kJ/mol of formula units
* density of states at the Fermi level: 3.082 states/eV/f.u.

a = 6.786 Å, b = 6.753 Å, c = 7.461 Å
α = 116.91°, β = 90.00°, γ = 90.00°
Positions (direct):
K1 0.750 0.240 0.480
K2 0.250 0.760 0.520
Ir1 0.250 0.055 0.110
Ir2 0.750 0.945 0.890
Pd1 0.250 0.422 0.844
Pd2 0.750 0.578 0.156
Se1 0.250 0.236 0.473
Se2 0.000 0.244 0.000
Se3 0.500 0.756 0.000
Se4 0.500 0.244 0.000
Se5 0.000 0.756 0.000
Se6 0.750 0.764 0.527


An optimized crystal structure of KPr2Ir. Source: the Alexandria database, functional GGA-PBE.

Results
* ΔE_f: -0.274 eV per atom
* symmetry: R-3m (166)
* density of states at the Fermi level: 3.535 states/eV/f.u.

a = 4.258 Å, b = 4.258 Å, c = 11.658 Å
α = 79.48°, β = 79.48°, γ = 60.00°
Positions (direct):
Pr1 0.124 0.124 0.629
Pr2 0.876 0.876 0.371
K1 0.000 0.000 0.000
Ir1 0.500 0.500 0.500


An optimized crystal structure of KIrPt2. Source: the Alexandria database, functional GGA-PBE.

Results
* ΔE_f: 0.317 eV per atom
* energy above the lowest structure with this stoichiometry: 90 meV per atom
* symmetry: C2/m (12)
* density of states at the Fermi level: 4.712 states/eV/f.u.

a = 4.558 Å, b = 4.558 Å, c = 7.107 Å
α = 85.21°, β = 85.21°, γ = 35.08°
Last column: magnetic moment on the atom in μB.
Positions (direct):
Ir1 0.750 0.750 0.750  0.08
K1 0.250 0.250 0.250  0.00
Pt1 0.010 0.010 0.917  0.01
Pt2 0.490 0.490 0.583  0.01


An optimized crystal structure of KIrPt2. Source: the Alexandria database, functional GGA-PBE.

Results
* ΔE_f: 0.328 eV per atom
* energy above the lowest structure with this stoichiometry: 102 meV per atom
* symmetry: Cm (8)
* density of states at the Fermi level: 3.863 states/eV/f.u.

a = 4.785 Å, b = 4.785 Å, c = 6.724 Å
α = 83.77°, β = 83.77°, γ = 33.36°
Positions (direct):
Ir1 0.487 0.487 0.603
K1 0.249 0.249 0.247
Pt1 0.015 0.015 0.933
Pt2 0.749 0.749 0.718


An optimized crystal structure of KIrPt2. Source: the Alexandria database, functional GGA-PBE.

Results
* ΔE_f: 0.234 eV per atom
* energy above the lowest structure with this stoichiometry: 8 meV per atom
* symmetry: Pmmm (47)
* density of states at the Fermi level: 5.291 states/eV/f.u.

a = 3.700 Å, b = 2.768 Å, c = 8.341 Å
α = 70.57°, β = 90.00°, γ = 90.00°
Positions (direct):
Ir1 0.500 0.250 0.250
K1 0.500 0.750 0.750
Pt1 0.000 0.931 0.070
Pt2 0.000 0.569 0.430


An optimized crystal structure of KIrPt2. Source: the Alexandria database, functional GGA-PBE.

Results
* ΔE_f: 0.482 eV per atom
* energy above the lowest structure with this stoichiometry: 256 meV per atom
* symmetry: Immm (71)
* density of states at the Fermi level: 6.571 states/eV/f.u.

a = 6.185 Å, b = 6.185 Å, c = 6.185 Å
α = 154.62°, β = 128.96°, γ = 57.84°
Positions (direct):
Ir1 0.750 0.250 0.500
K1 0.250 0.750 0.500
Pt1 0.957 0.957 0.000
Pt2 0.543 0.543 0.000


An optimized crystal structure of KIrPt2. Source: the Alexandria database, functional GGA-PBE.

Results
* ΔE_f: 0.452 eV per atom
* energy above the lowest structure with this stoichiometry: 226 meV per atom
* symmetry: P4/mmm (123)
* density of states at the Fermi level: 4.295 states/eV/f.u.

a = 5.085 Å, b = 5.085 Å, c = 2.724 Å
α = 90.00°, β = 90.00°, γ = 90.00°
Positions (direct):
Ir1 0.500 0.000 0.500
K1 0.000 0.500 0.500
Pt1 0.000 0.000 0.000
Pt2 0.500 0.500 0.000


An optimized crystal structure of KIrPt2. Source: the Alexandria database, functional GGA-PBE.

Results
* ΔE_f: 0.900 eV per atom
* energy above the lowest structure with this stoichiometry: 674 meV per atom
* symmetry: F-43m (216)
* density of states at the Fermi level: 3.571 states/eV/f.u.

a = 4.670 Å, b = 4.670 Å, c = 4.670 Å
α = 60.00°, β = 60.00°, γ = 60.00°
Last column: magnetic moment on the atom in μB.
Positions (direct):
Ir1 0.500 0.500 0.500  1.17
K1 0.250 0.250 0.250  0.01
Pt1 0.000 0.000 0.000  0.26
Pt2 0.750 0.750 0.750  0.46


An optimized crystal structure of KIrPt2. Source: the Alexandria database, functional GGA-PBE.

Results
* ΔE_f: 0.789 eV per atom
* energy above the lowest structure with this stoichiometry: 563 meV per atom
* symmetry: I4/mmm (139)
* density of states at the Fermi level: 5.530 states/eV/f.u.

a = 4.922 Å, b = 4.922 Å, c = 4.922 Å
α = 128.48°, β = 128.48°, γ = 75.85°
Positions (direct):
Ir1 0.250 0.750 0.500
K1 0.750 0.250 0.500
Pt1 0.000 0.000 0.000
Pt2 0.500 0.500 0.000


An optimized crystal structure of KIrPt. Source: the Alexandria database, functional GGA-PBE.

Results
* ΔE_f: 0.462 eV per atom
* energy above the lowest structure with this stoichiometry: 297 meV per atom
* symmetry: I4mm (107)
* density of states at the Fermi level: 2.852 states/eV/f.u.

a = 7.632 Å, b = 7.632 Å, c = 2.814 Å
α = 79.38°, β = 79.38°, γ = 21.24°
Positions (direct):
Ir1 0.021 0.021 0.979
K1 0.334 0.334 0.666
Pt1 0.645 0.645 0.355


An optimized crystal structure of KIrPt. Source: the Alexandria database, functional GGA-PBE.

Results
* ΔE_f: 0.752 eV per atom
* energy above the lowest structure with this stoichiometry: 588 meV per atom
* symmetry: P-6m2 (187)
* density of states at the Fermi level: 3.865 states/eV/f.u.

a = 4.903 Å, b = 4.903 Å, c = 2.746 Å
α = 90.00°, β = 90.00°, γ = 120.00°
Last column: magnetic moment on the atom in μB.
Positions (direct):
Ir1 0.000 0.000 0.834  0.19
K1 0.667 0.333 0.333  0.00
Pt1 0.333 0.667 0.833  0.03


An optimized crystal structure of KIrPt2. Source: the Alexandria database, functional GGA-PBE.

Results
* ΔE_f: 0.226 eV per atom
* energy above the lowest structure with this stoichiometry: 0 meV per atom
* symmetry: P4/mmm (123)
* density of states at the Fermi level: 4.064 states/eV/f.u.

a = 2.838 Å, b = 2.838 Å, c = 9.149 Å
α = 90.00°, β = 90.00°, γ = 90.00°
Positions (direct):
Ir1 0.500 0.500 0.250
K1 0.500 0.500 0.750
Pt1 0.000 0.000 0.048
Pt2 0.000 0.000 0.452


An optimized crystal structure of KIrPt2. Source: the Alexandria database, functional GGA-PBE.

Results
* ΔE_f: 0.329 eV per atom
* energy above the lowest structure with this stoichiometry: 103 meV per atom
* symmetry: P4mm (99)
* density of states at the Fermi level: 3.527 states/eV/f.u.

a = 2.821 Å, b = 2.821 Å, c = 9.259 Å
α = 90.00°, β = 90.00°, γ = 90.00°
Positions (direct):
Ir1 0.000 0.000 0.452
K1 0.500 0.500 0.750
Pt1 0.000 0.000 0.042
Pt2 0.500 0.500 0.255